Record 1
# KTePb PBE optimized geometry
# Total magnetic moment, μB/atom: 0.00
# Polymorph energy (0 for the lowest one), kcal/mol of atoms: 3.16
# E_form (uncorrected), eV per atom: -0.344
data_KTePb
_chemical_formula_sum 'K4 Te4 Pb4'
_symmetry_space_group_name_H-M 'I m m m'
_symmetry_Int_Tables_number 71
_symmetry_space_group_name_Hall '-I 2 2'
_cell_length_a 5.336
_cell_length_b 6.430
_cell_length_c 17.076
_cell_angle_alpha 90.00
_cell_angle_beta 90.00
_cell_angle_gamma 90.00
loop_
_atom_site_label
_atom_site_type_symbol
_atom_site_fract_x
_atom_site_fract_y
_atom_site_fract_z
K1 K 0.000 0.000 0.150
Te1 Te 0.000 0.000 0.355
Pb1 Pb 0.000 0.271 0.500

Record 2
# KTePb4 PBE optimized geometry
# Total magnetic moment, μB/atom: 0.00
# E_form (uncorrected), eV per atom: -0.021
data_KTePb4
_chemical_formula_sum 'K4 Te4 Pb16'
_symmetry_space_group_name_H-M 'F -4 3 m'
_symmetry_Int_Tables_number 216
_symmetry_space_group_name_Hall 'F -4 2 3'
_cell_length_a 9.342
_cell_length_b 9.342
_cell_length_c 9.342
_cell_angle_alpha 90.00
_cell_angle_beta 90.00
_cell_angle_gamma 90.00
loop_
_atom_site_label
_atom_site_type_symbol
_atom_site_fract_x
_atom_site_fract_y
_atom_site_fract_z
K1 K 0.000 0.000 0.000
Te1 Te 0.250 0.250 0.250
Pb1 Pb 0.125 0.125 0.625

Record 3
# K2TePb PBE optimized geometry
# Total magnetic moment, μB/atom: 0.00
# Polymorph energy (0 for the lowest one), kcal/mol of atoms: 0.76
# E_form (uncorrected), eV per atom: -0.449
data_K2TePb
_chemical_formula_sum 'K4 Te2 Pb2'
_symmetry_space_group_name_H-M 'I 4/m m m'
_symmetry_Int_Tables_number 139
_symmetry_space_group_name_Hall '-I 4 2'
_cell_length_a 5.006
_cell_length_b 5.006
_cell_length_c 11.084
_cell_angle_alpha 90.00
_cell_angle_beta 90.00
_cell_angle_gamma 90.00
loop_
_atom_site_label
_atom_site_type_symbol
_atom_site_fract_x
_atom_site_fract_y
_atom_site_fract_z
K1 K 0.000 0.500 0.250
Te1 Te 0.000 0.000 0.000
Pb1 Pb 0.000 0.000 0.500

Question: What is the E_form (uncorrected) in the first record?
Answer: -0.344 eV per atom